{"formula": "TaNiF3", "functional": "PBE+U", "state": "relaxed", "lattice_angstrom": [[4.1239, 0.0000, 0.0000], [0.0000, 4.1239, 0.0000], [0.0000, 0.0000, 4.1239]], "species": ["Ta", "Ni", "F", "F", "F"], "frac_coords": [[0.0000, 0.0000, 0.0000], [0.5000, 0.5000, 0.5000], [0.0000, 0.0000, 0.5000], [0.0000, 0.5000, 0.0000], [0.5000, 0.0000, 0.0000]], "total_magnetization_mub_per_fu": 0.0, "sg": "No. 221", "de_polymorph_mev_per_atom": 0, "energy_ev_per_fu": -24.50}